Density functional theory data (GGA+U) for a relaxed structure of MgVPO2.

Summary:
As for the total energy: -25.10 eV/cell. As for the total magnetization: 3.6 Bohr magnetons per cell.

abc: 3.779 3.779 5.329
angles: 90.00 90.00 90.00
Space group P4/mmm (No. 123)
Asymmetric unit:
Mg (0.000, 0.000, 0.000) x1
V (0.500, 0.500, 0.500) x1
P (0.000, 0.000, 0.500) x1
O (0.000, 0.500, 0.000) x2